Entry 1:
LiCo2Cu | PBE | optimized geometry

Lattice parameters (Å, degrees): 2.6712 4.1260 8.4999 90.00 90.00 90.00
Last column: nearest neighbours and their distance in Å.
Space group Cmm2 (No. 35)
Inequivalent atoms, fractional coordinates:
Li  0.0000  0.0000  0.0000 (multiplicity 2)  6 Li 2.46-2.67, 2 Co 2.55, 2 Cu 2.57
Co  0.0000  0.0000  0.5111 (multiplicity 2)  8 Co 2.39-2.67, 2 Cu 2.53
Co  0.0000  0.5000  0.7439 (multiplicity 2)  8 Co 2.39-2.67, 2 Li 2.55
Cu  0.0000  0.5000  0.2589 (multiplicity 2)  6 Cu 2.46-2.67, 2 Co 2.53, 2 Li 2.57

Formation enthalpy at 0 K (eV per atom): 0.11

***

Entry 2:
CsZrBr2 | PBE | optimized geometry

Lattice parameters (Å, degrees): 3.7054 3.7054 32.8113 90.00 90.00 120.00
Last column: nearest neighbours and their distance in Å.
Space group R-3m (No. 166, hexagonal axes)
Inequivalent atoms, fractional coordinates:
Cs  0.0000  0.0000  0.0000 (multiplicity 3)  2 Br 3.58, 6 Cs 3.71
Zr  0.0000  0.0000  0.5000 (multiplicity 3)  6 Br 2.85
Br  0.0000  0.0000  0.1092 (multiplicity 6)  3 Zr 2.85

Relative energy among the computed polymorphs (eV per formula unit): 0.000
Formation energy without anion corrections (meV per atom): -670

***

Entry 3:
Ho2MgTc | PBE | optimized geometry

Lattice parameters (Å, degrees): 3.3669 3.3669 32.1676 90.00 90.00 120.00
Last column: nearest neighbours and their distance in Å.
Space group R-3m (No. 166, hexagonal axes)
Inequivalent atoms, fractional coordinates:
Ho  0.0000  0.0000  0.1037 (multiplicity 6)  3 Tc 2.81
Mg  0.0000  0.0000  0.0000 (multiplicity 3)  2 Ho 3.34, 6 Mg 3.37
Tc  0.0000  0.0000  0.5000 (multiplicity 3)  6 Ho 2.81

Formation enthalpy at 0 K (eV per atom): 0.25

***

The calculation returns the following final energy values, one per record and in order: -4.950 -3.857 -5.027 eV per atom.